Record 1
## Na2CeNpN4 (PBE)

Data for a relaxed Na2CeNpN4 crystal.

Output
Formation energy without anion corrections, kJ/mol of atoms: -87
Symmetry: P2/m, No. 10

```
Na2CeNpN4
1.0
5.984 0.000 0.000
0.000 3.551 0.000
-2.051 0.000 5.730
Na Ce Np N
2 1 1 4
Cartesian
0.000 0.000 0.000
-1.026 1.776 2.865
1.966 0.000 2.865
2.992 1.776 0.000
0.267 0.000 4.505
1.419 1.776 1.387
2.513 1.776 4.344
3.665 0.000 1.225
```


Record 2
## Na4CeNp3N8 (PBE)

Data for a relaxed Na4CeNp3N8 crystal.

Output
Formation energy without anion corrections, kJ/mol of atoms: -84
Symmetry: R-3m, No. 166

```
Na4CeNp3N8
1.0
3.510 2.027 5.638
-3.510 2.027 5.638
0.000 -4.053 5.638
Na Ce Np N
4 1 3 8
Cartesian
0.000 0.000 0.000
-1.755 -1.013 5.638
-1.755 1.013 11.275
0.000 2.027 5.638
0.000 0.000 8.457
-3.510 0.000 8.457
-1.755 1.013 2.819
1.755 1.013 2.819
-1.858 -1.073 9.470
0.000 0.000 3.863
0.000 -2.146 7.443
-1.858 1.073 7.443
1.858 -1.073 9.470
0.000 2.146 9.470
0.000 0.000 13.050
1.858 1.073 7.443
```


Record 3
## Na3CeNp2N6 (PBE)

Data for a relaxed Na3CeNp2N6 crystal.

Output
Formation energy without anion corrections, kJ/mol of atoms: -85
Symmetry: C2/m, No. 12

```
Na3CeNp2N6
1.0
7.526 -1.773 0.000
7.526 1.773 0.000
-1.554 0.000 6.823
Na Ce Np N
3 1 2 6
Cartesian
0.000 0.000 0.000
3.933 0.000 4.526
9.566 0.000 2.298
-0.777 0.000 3.412
4.733 0.000 1.140
8.766 0.000 5.683
1.396 0.000 4.296
2.737 0.000 0.353
6.717 0.000 1.794
6.782 0.000 5.029
10.762 0.000 6.470
12.103 0.000 2.527
```


Record 4
## NaCe2OsN4 (PBE)

Data for a relaxed NaCe2OsN4 crystal.

Output
Formation energy without anion corrections, kJ/mol of atoms: -70
Symmetry: Cmcm, No. 63

```
NaCe2OsN4
1.0
1.782 -6.097 0.000
1.782 6.097 0.000
0.000 0.000 12.375
Na Ce Os N
2 4 2 8
Cartesian
1.782 5.305 9.281
1.782 -5.305 3.094
1.782 1.599 6.800
1.782 1.599 11.762
1.782 -1.599 0.612
1.782 -1.599 5.575
1.782 3.555 3.094
1.782 -3.555 9.281
0.000 0.000 0.000
0.000 0.000 6.187
1.782 3.075 1.197
1.782 3.075 4.990
1.782 1.689 9.281
1.782 -1.689 3.094
1.782 -3.075 7.385
1.782 -3.075 11.177
```


Record 5
## NaCe2PaN4 (PBE)

Data for a relaxed NaCe2PaN4 crystal.

Output
Formation energy without anion corrections, kJ/mol of atoms: -119
Symmetry: P2/m, No. 10

```
NaCe2PaN4
1.0
6.022 0.000 0.000
0.000 3.591 0.000
-1.918 0.000 5.846
Na Ce Pa N
1 2 1 4
Cartesian
0.000 0.000 0.000
-0.959 1.796 2.923
2.052 0.000 2.923
3.011 1.796 0.000
0.200 0.000 4.455
1.315 1.796 1.508
2.788 1.796 4.338
3.904 0.000 1.391
```


Record 6
## Na3CePa2N6 (PBE)

Data for a relaxed Na3CePa2N6 crystal.

Output
Formation energy without anion corrections, kJ/mol of atoms: -101
Symmetry: C2/m, No. 12

```
Na3CePa2N6
1.0
3.038 -5.467 0.000
3.038 5.467 0.000
-1.851 0.000 5.706
Na Ce Pa N
3 1 2 6
Cartesian
0.000 0.000 0.000
3.038 1.825 0.000
3.038 -1.825 0.000
2.113 0.000 2.853
2.113 3.655 2.853
2.113 -3.655 2.853
0.982 1.868 1.775
0.089 0.000 3.926
0.982 -1.868 1.775
3.243 1.868 3.931
4.136 0.000 1.780
3.243 -1.868 3.931
```